1.
BaAcSmEu: optimized geometry, PBE.

```
4
Lattice="-0.527 0.892 -6.208 -5.120 -2.028 -3.047 -4.175 4.143 -2.241" Properties=species:S:1:pos:R:3 pbc="T T T"
Eu -4.911 1.503 -5.749
Ac 0.000 0.000 0.000
Ba -2.455 0.752 -2.874
Sm -7.366 2.255 -8.623
```

The mass density is 6.28 Mg/m³. As for the symmetry: F-43m (216). Its energy relative to the elements is 0.180 eV per atom.

2.
PmDyY5Ho2: optimized geometry, PBE.

```
18
Lattice="5.627 0.000 0.000 -2.813 10.059 0.000 0.000 0.000 10.519" Properties=species:S:1:pos:R:3 pbc="T T T"
Y 0.000 6.051 7.418
Y 0.000 7.823 0.260
Y 0.000 9.625 7.757
Y 2.813 0.434 2.497
Y 0.000 0.330 0.241
Y 0.000 5.603 3.308
Y 2.813 9.729 5.501
Y 2.813 4.008 2.158
Y 2.813 4.456 8.568
Y 2.813 2.236 5.520
Ho 0.000 2.224 7.741
Ho 2.813 7.793 8.615
Ho 2.813 7.835 2.482
Ho 0.000 2.266 3.356
Pm 0.000 3.962 0.145
Pm 2.813 6.096 5.405
Dy 0.000 8.312 4.739
Dy 2.813 1.747 9.999
```

The mass density is 6.04 Mg/m³. As for the symmetry: Cmc2_1 (36). Its energy relative to the elements is 0.156 eV per atom.

- Among the records above, which one has the lowest energy relative to the elements?
  PmDyY5Ho2